Computed, not measured: a relaxed structure of TbNd5Er2 at the PBE level of DFT.

Geometry as extended XYZ:
```
16
Lattice="7.7265 -0.5422 5.9556 -1.2285 7.6474 5.9556 2.0352 2.2254 13.0507" Properties=species:S:1:pos:R:3 pbc="T T T"
Tb 6.0713 1.9932 9.2183
Er 0.4034 4.9364 9.5031
Nd -0.3406 8.4428 10.8611
Nd 3.9152 8.9888 18.6118
Nd 0.9465 5.7427 12.8753
Er 4.2666 4.6653 12.4809
Nd 9.4572 1.5257 17.3865
Nd 8.8738 0.8878 14.1007
Nd -0.9241 7.8049 7.5754
Nd 3.6537 4.2041 9.2183
Tb 2.4619 7.3374 15.7436
Nd 4.6179 0.3418 6.3500
Er 3.8632 -0.2711 2.9778
Er 3.2490 3.5526 5.9556
Nd 7.5866 3.5879 12.0865
Nd 4.8795 5.1265 15.7436
```

Properties
- E_form: 1.679 eV per formula unit
- Energy above the lowest structure with this stoichiometry: 94 meV per atom
- Energy: -35.9 eV per formula unit
- Space group: C2/c, No. 15